Na2LiIrSe | PBE | relaxed

Unit cell a=5.604 b=5.604 c=4.589 alpha=90.00 beta=90.00 gamma=90.00
Space group P4/mmm (No. 123)
One atom of each set of equivalent atoms:
Na  0.000  0.500  0.000 [2 per cell]
Li  0.000  0.000  0.500 [1 per cell]
Ir  0.500  0.500  0.000 [1 per cell]
Se  0.500  0.500  0.500 [1 per cell]

## Properties
E_tot: -0.1213 hartree per atom
Fermi-level density of states: 0.503 states/eV/atom
Calculated volume: 28.8 Å³/atom
ΔE_f (raw): 0.39 eV per formula unit

=====

PuNp2U3As6 | PBE | relaxed

Unit cell a=7.066 b=12.260 c=7.150 alpha=90.00 beta=109.31 gamma=90.00
Space group C2/m (No. 12)
One atom of each set of equivalent atoms:
Pu  0.000  0.000  0.000 [2 per cell]
Np  0.000  0.333  0.000 [4 per cell]
U  0.000  0.166  0.500 [4 per cell]
U  0.000  0.500  0.500 [2 per cell]
As  0.248  0.332  0.747 [8 per cell]
As  0.249  0.500  0.253 [4 per cell]

## Properties
E_tot: -0.3397 hartree per atom
Fermi-level density of states: 4.092 states/eV/atom
Calculated volume: 24.4 Å³/atom
Energy of formation from the pure elements: -0.75 eV per atom

=====

Nd3Cd2Ru | PBE | relaxed

Unit cell a=5.230 b=7.790 c=8.169 alpha=90.00 beta=108.52 gamma=90.00
Space group P2/m (No. 10)
One atom of each set of equivalent atoms:
Nd  0.000  0.231  0.000 [2 per cell]
Nd  0.325  0.222  0.650 [4 per cell]
Cd  0.165  0.500  0.329 [2 per cell]
Cd  0.500  0.000  0.000 [1 per cell]
Cd  0.500  0.500  0.000 [1 per cell]
Ru  0.160  0.000  0.321 [2 per cell]

## Properties
E_tot: -0.1652 hartree per atom
Fermi-level density of states: 0.824 states/eV/atom
Calculated volume: 26.3 Å³/atom
Energy of formation from the pure elements: -0.26 eV per atom
Excess energy over the best structure of this formula in the dataset: 0.0 meV per atom

=====

U2RuAu | PBE | relaxed

Unit cell a=2.9436 b=2.9436 c=32.2915 alpha=90.00 beta=90.00 gamma=120.00
Space group R-3m (No. 166, hexagonal axes)
One atom of each set of equivalent atoms:
U  0.0000  0.0000  0.0948 [6 per cell]
Ru  0.0000  0.0000  0.5000 [3 per cell]
Au  0.0000  0.0000  0.0000 [3 per cell]

## Properties
E_tot: -0.3142 hartree per atom
Fermi-level density of states: 2.206 states/eV/atom
Calculated volume: 20.2 Å³/atom
Energy of formation from the pure elements: 0.23 eV per atom